[1]
Compound: CsBaHCl2
Source: Alexandria via LeMat-Bulk
Functional: GGA-PBE
Structure: relaxed

a = 6.1127 Å, b = 6.1127 Å, c = 5.0949 Å
α = 90.00°, β = 90.00°, γ = 90.00°
Last column: nearest neighbours and their distance in Å.
Space group P4/mmm (No. 123)
Inequivalent atoms, fractional coordinates:
1 Cs 0.0000 0.0000 0.0000 [1 per cell]  8 Cl 3.98, 4 H 4.32
2 Ba 0.5000 0.5000 0.5000 [1 per cell]  2 H 2.55
3 H 0.5000 0.5000 0.0000 [1 per cell]  2 Ba 2.55
4 Cl 0.0000 0.5000 0.5000 [2 per cell]  2 Ba 3.06

- spin magnetization (μB/f.u.) = 0.0
- energy (eV/atom) = -3.579
- Fermi-level density of states (states/eV/atom) = 0.00

[2]
Compound: Pr2Al5Zn12
Source: Alexandria via LeMat-Bulk
Functional: GGA-PBE
Structure: relaxed

a = 9.1778 Å, b = 9.1778 Å, c = 13.3972 Å
α = 90.00°, β = 90.00°, γ = 120.00°
Last column: nearest neighbours and their distance in Å.
Space group R-3m (No. 166, hexagonal axes)
Inequivalent atoms, fractional coordinates:
1 Pr 0.0000 0.0000 0.1666 [6 per cell]  4 Al 3.15-3.47, 12 Zn 3.24-3.41
2 Al 0.0000 0.0000 0.4016 [6 per cell]  4 Al 2.64-2.80, 3 Zn 2.94
3 Al 0.0000 0.5000 0.0000 [9 per cell]  8 Zn 2.63-2.70, 2 Al 2.80
4 Zn 0.0000 0.2972 0.5000 [18 per cell]  2 Al 2.63, 6 Zn 2.73-2.80
5 Zn 0.0102 0.5051 0.6527 [18 per cell]  6 Zn 2.60-2.80, 2 Al 2.70

- spin magnetization (μB/f.u.) = 0.0
- energy (eV/atom) = -2.508
- Fermi-level density of states (states/eV/atom) = 0.31

[3]
Compound: Te3C
Source: Alexandria via LeMat-Bulk
Functional: GGA-PBE
Structure: relaxed

a = 8.5216 Å, b = 3.1218 Å, c = 7.8866 Å
α = 90.00°, β = 102.42°, γ = 90.00°
Last column: nearest neighbours and their distance in Å.
Space group C2/m (No. 12)
Inequivalent atoms, fractional coordinates:
1 Te 0.0000 0.0000 0.0000 [2 per cell]  4 Te 3.07-3.12
2 Te 0.1514 0.0000 0.6795 [4 per cell]  2 C 2.31
3 C 0.0000 0.5000 0.5000 [2 per cell]  4 Te 2.31

- polymorph energy (0 for the lowest one) (meV/atom) = 254
- formation energy (no corrections) (kJ/mol of atoms) = 102
- spin magnetization (μB/f.u.) = 0.0
- Fermi-level density of states (states/eV/atom) = 0.50

[4]
Compound: ZnW3Cl
Source: Alexandria via LeMat-Bulk
Functional: GGA-PBE
Structure: relaxed

a = 4.3980 Å, b = 4.3980 Å, c = 4.3980 Å
α = 90.00°, β = 90.00°, γ = 90.00°
Last column: nearest neighbours and their distance in Å.
Space group Pm-3m (No. 221)
Inequivalent atoms, fractional coordinates:
1 Zn 0.0000 0.0000 0.0000 [1 per cell]  12 W 3.11
2 W 0.0000 0.5000 0.5000 [3 per cell]  2 Cl 2.20
3 Cl 0.5000 0.5000 0.5000 [1 per cell]  6 W 2.20

- polymorph energy (0 for the lowest one) (meV/atom) = 0
- formation energy (no corrections) (kJ/mol of atoms) = 147
- spin magnetization (μB/f.u.) = 0.0
- Fermi-level density of states (states/eV/atom) = 0.77

[5]
Compound: TlGeCl3
Source: Alexandria via LeMat-Bulk
Functional: GGA-PBE
Structure: relaxed

a = 7.8742 Å, b = 7.8742 Å, c = 21.3991 Å
α = 90.00°, β = 90.00°, γ = 120.00°
Last column: nearest neighbours and their distance in Å.
Space group R-3c (No. 167, hexagonal axes)
Inequivalent atoms, fractional coordinates:
1 Tl 0.0000 0.0000 0.0000 [6 per cell]  6 Cl 3.24
2 Ge 0.0000 0.0000 0.2500 [6 per cell]  3 Cl 2.48
3 Cl 0.0000 0.3151 0.2500 [18 per cell]  1 Ge 2.48

- formation energy (no corrections) (kJ/mol of atoms) = -69
- spin magnetization (μB/f.u.) = 0.0
- Fermi-level density of states (states/eV/atom) = 0.00

[6]
Compound: MoWSe2
Source: Alexandria via LeMat-Bulk
Functional: GGA-PBE
Structure: relaxed

a = 6.2990 Å, b = 6.2990 Å, c = 6.2990 Å
α = 90.00°, β = 90.00°, γ = 90.00°
Last column: nearest neighbours and their distance in Å.
Space group Fm-3m (No. 225)
Inequivalent atoms, fractional coordinates:
1 Mo 0.0000 0.0000 0.0000 [4 per cell]  8 Se 2.73
2 W 0.0000 0.0000 0.5000 [4 per cell]  8 Se 2.73
3 Se 0.2500 0.2500 0.2500 [8 per cell]  4 Mo 2.73, 4 W 2.73

- polymorph energy (0 for the lowest one) (meV/atom) = 451
- formation energy (no corrections) (kJ/mol of atoms) = 29
- spin magnetization (μB/f.u.) = 0.0
- Fermi-level density of states (states/eV/atom) = 0.89

[7]
Compound: Sm5HgRh2
Source: Alexandria via LeMat-Bulk
Functional: GGA-PBE
Structure: relaxed

a = 7.9259 Å, b = 7.9259 Å, c = 13.5898 Å
α = 90.00°, β = 90.00°, γ = 90.00°
Last column: nearest neighbours and their distance in Å.
Space group I4/mcm (No. 140)
Inequivalent atoms, fractional coordinates:
1 Sm 0.0000 0.0000 0.0000 [4 per cell]  4 Rh 3.07, 2 Hg 3.40
2 Sm 0.1618 0.3382 0.1355 [16 per cell]  3 Rh 2.91-3.01
3 Hg 0.0000 0.0000 0.2500 [4 per cell]  10 Sm 3.35-3.40
4 Rh 0.1372 0.3628 0.5000 [8 per cell]  8 Sm 2.91-3.07, 1 Rh 3.07

- spin magnetization (μB/f.u.) = 0.0
- energy (eV/atom) = -5.390
- Fermi-level density of states (states/eV/atom) = 0.98